No. 1
# TmThSc2

Crystalline TmThSc2 at its relaxed geometry (PBE, Alexandria via LeMat-Bulk).

Structure (CIF):
```
data_TmThSc2
_chemical_formula_sum 'Tm4 Th4 Sc8'
_cell_length_a 7.629
_cell_length_b 7.629
_cell_length_c 7.629
_cell_angle_alpha 90.00
_cell_angle_beta 90.00
_cell_angle_gamma 90.00
_symmetry_space_group_name_H-M 'F m -3 m'
_symmetry_Int_Tables_number 225
_symmetry_space_group_name_Hall '-F 4 2 3'
loop_
_atom_site_label
_atom_site_type_symbol
_atom_site_fract_x
_atom_site_fract_y
_atom_site_fract_z
_atom_site_occupancy
Tm1 Tm 0.000 0.000 0.000 1
Th1 Th 0.000 0.000 0.500 1
Sc1 Sc 0.250 0.250 0.250 1
```

Results
The polymorph energy (0 for the lowest one) is 0.051 eV/atom. Its uncorrected energy is -6.0797 eV per atom. The calculation puts the formation enthalpy at 0 K at 0.24 eV per formula unit. As for the total magnetization: 0.000 μB per atom.


No. 2
# TmTh3Sc2

Crystalline TmTh3Sc2 at its relaxed geometry (PBE, Alexandria via LeMat-Bulk).

Structure (CIF):
```
data_TmTh3Sc2
_chemical_formula_sum 'Tm2 Th6 Sc4'
_cell_length_a 5.9861
_cell_length_b 5.9861
_cell_length_c 11.3570
_cell_angle_alpha 90.00
_cell_angle_beta 90.00
_cell_angle_gamma 120.00
_symmetry_space_group_name_H-M 'P 63/m c m'
_symmetry_Int_Tables_number 193
_symmetry_space_group_name_Hall '-P 6c 2'
loop_
_atom_site_label
_atom_site_type_symbol
_atom_site_fract_x
_atom_site_fract_y
_atom_site_fract_z
_atom_site_occupancy
Tm1 Tm 0.0000 0.0000 0.0000 1
Th1 Th 0.0000 0.3475 0.2500 1
Sc1 Sc 0.3333 0.6667 0.0000 1
```

Results
The polymorph energy (0 for the lowest one) is 0.065 eV/atom. Its uncorrected energy is -6.4715 eV per atom. The calculation puts the formation enthalpy at 0 K at 0.57 eV per formula unit. As for the total magnetization: 0.000 μB per atom.


No. 3
# TmThSc

Crystalline TmThSc at its relaxed geometry (PBE, Alexandria via LeMat-Bulk).

Structure (CIF):
```
data_TmThSc
_chemical_formula_sum 'Tm2 Th2 Sc2'
_cell_length_a 3.493
_cell_length_b 3.493
_cell_length_c 14.307
_cell_angle_alpha 90.00
_cell_angle_beta 90.00
_cell_angle_gamma 90.00
_symmetry_space_group_name_H-M 'I 4 m m'
_symmetry_Int_Tables_number 107
_symmetry_space_group_name_Hall 'I 4 -2'
loop_
_atom_site_label
_atom_site_type_symbol
_atom_site_fract_x
_atom_site_fract_y
_atom_site_fract_z
_atom_site_occupancy
Tm1 Tm 0.000 0.000 0.000 1
Th1 Th 0.000 0.000 0.330 1
Sc1 Sc 0.000 0.000 0.670 1
```

Results
The polymorph energy (0 for the lowest one) is 0.000 eV/atom. Its uncorrected energy is -6.0390 eV per atom. The calculation puts the formation enthalpy at 0 K at 0.11 eV per formula unit. As for the total magnetization: 0.000 μB per atom.


No. 4
# Tm5Th4Sc4

Crystalline Tm5Th4Sc4 at its relaxed geometry (PBE, Alexandria via LeMat-Bulk).

Structure (CIF):
```
data_Tm5Th4Sc4
_chemical_formula_sum 'Tm10 Th8 Sc8'
_cell_length_a 12.377
_cell_length_b 12.377
_cell_length_c 4.939
_cell_angle_alpha 90.00
_cell_angle_beta 90.00
_cell_angle_gamma 90.00
_symmetry_space_group_name_H-M 'I 4/m'
_symmetry_Int_Tables_number 87
_symmetry_space_group_name_Hall '-I 4'
loop_
_atom_site_label
_atom_site_type_symbol
_atom_site_fract_x
_atom_site_fract_y
_atom_site_fract_z
_atom_site_occupancy
Tm1 Tm 0.000 0.000 0.000 1
Tm2 Tm 0.042 0.808 0.500 1
Th1 Th 0.077 0.618 0.000 1
Sc1 Sc 0.154 0.233 0.000 1
```

Results
Its uncorrected energy is -5.9070 eV per atom. The calculation puts the formation enthalpy at 0 K at 0.57 eV per formula unit. As for the total magnetization: 0.000 μB per atom.


No. 5
# Tm3Th2Sc2

Crystalline Tm3Th2Sc2 at its relaxed geometry (PBE, Alexandria via LeMat-Bulk).

Structure (CIF):
```
data_Tm3Th2Sc2
_chemical_formula_sum 'Tm3 Th2 Sc2'
_cell_length_a 5.474
_cell_length_b 3.266
_cell_length_c 11.912
_cell_angle_alpha 90.00
_cell_angle_beta 103.24
_cell_angle_gamma 90.00
_symmetry_space_group_name_H-M 'P 1 2/m 1'
_symmetry_Int_Tables_number 10
loop_
_symmetry_equiv_pos_as_xyz
'x,y,z'
'-x,-y,-z'
'-x,y,-z'
'x,-y,z'
loop_
_atom_site_label
_atom_site_type_symbol
_atom_site_fract_x
_atom_site_fract_y
_atom_site_fract_z
_atom_site_occupancy
Tm1 Tm 0.000 0.000 0.000 1
Tm2 Tm 0.291 0.000 0.582 1
Th1 Th 0.139 0.000 0.277 1
Sc1 Sc 0.426 0.500 0.853 1
```

Results
The polymorph energy (0 for the lowest one) is 0.186 eV/atom. Its uncorrected energy is -5.6139 eV per atom. The calculation puts the formation enthalpy at 0 K at 1.62 eV per formula unit. As for the total magnetization: 0.000 μB per atom.


No. 6
# TmTh6Sc2

Crystalline TmTh6Sc2 at its relaxed geometry (PBE, Alexandria via LeMat-Bulk).

Structure (CIF):
```
data_TmTh6Sc2
_chemical_formula_sum 'Tm1 Th6 Sc2'
_cell_length_a 3.4779
_cell_length_b 3.4779
_cell_length_c 32.5936
_cell_angle_alpha 90.00
_cell_angle_beta 90.00
_cell_angle_gamma 120.00
_symmetry_space_group_name_H-M 'P -6 m 2'
_symmetry_Int_Tables_number 187
_symmetry_space_group_name_Hall 'P -6 2'
loop_
_atom_site_label
_atom_site_type_symbol
_atom_site_fract_x
_atom_site_fract_y
_atom_site_fract_z
_atom_site_occupancy
Tm1 Tm 0.0000 0.0000 0.0000 1
Th1 Th 0.0000 0.0000 0.1807 1
Th2 Th 0.0000 0.0000 0.3497 1
Th3 Th 0.3333 0.6667 0.0899 1
Sc1 Sc 0.3333 0.6667 0.2679 1
```

Results
The polymorph energy (0 for the lowest one) is 0.000 eV/atom. Its uncorrected energy is -6.6559 eV per atom. The calculation puts the formation enthalpy at 0 K at 1.75 eV per formula unit. As for the total magnetization: 0.000 μB per atom.


No. 7
# Tm12ThSc5

Crystalline Tm12ThSc5 at its relaxed geometry (PBE, Alexandria via LeMat-Bulk).

Structure (CIF):
```
data_Tm12ThSc5
_chemical_formula_sum 'Tm24 Th2 Sc10'
_cell_length_a 5.960
_cell_length_b 10.324
_cell_length_c 16.802
_cell_angle_alpha 90.00
_cell_angle_beta 96.79
_cell_angle_gamma 90.00
_symmetry_space_group_name_H-M 'C 1 2/m 1'
_symmetry_Int_Tables_number 12
loop_
_symmetry_equiv_pos_as_xyz
'x,y,z'
'-x,-y,-z'
'-x,y,-z'
'x,-y,z'
'x+1/2,y+1/2,z'
'-x+1/2,-y+1/2,-z'
'-x+1/2,y+1/2,-z'
'x+1/2,-y+1/2,z'
loop_
_atom_site_label
_atom_site_type_symbol
_atom_site_fract_x
_atom_site_fract_y
_atom_site_fract_z
_atom_site_occupancy
Tm1 Tm 0.113 0.000 0.338 1
Tm2 Tm 0.113 0.333 0.338 1
Tm3 Tm 0.221 0.500 0.166 1
Tm4 Tm 0.222 0.167 0.166 1
Th1 Th 0.000 0.000 0.000 1
Sc1 Sc 0.000 0.166 0.500 1
Sc2 Sc 0.000 0.333 0.000 1
Sc3 Sc 0.000 0.500 0.500 1
```

Results
Its uncorrected energy is -5.1187 eV per atom. The calculation puts the formation enthalpy at 0 K at 0.60 eV per formula unit. As for the total magnetization: 0.000 μB per atom.


No. 8
# TmTh2Sc3

Crystalline TmTh2Sc3 at its relaxed geometry (PBE, Alexandria via LeMat-Bulk).

Structure (CIF):
```
data_TmTh2Sc3
_chemical_formula_sum 'Tm2 Th4 Sc6'
_cell_length_a 5.495
_cell_length_b 10.340
_cell_length_c 5.981
_cell_angle_alpha 90.00
_cell_angle_beta 90.00
_cell_angle_gamma 90.00
_symmetry_space_group_name_H-M 'P m c 21'
_symmetry_Int_Tables_number 26
loop_
_symmetry_equiv_pos_as_xyz
'x,y,z'
'-x,-y,z+1/2'
'-x,y,z'
'x,-y,z+1/2'
loop_
_atom_site_label
_atom_site_type_symbol
_atom_site_fract_x
_atom_site_fract_y
_atom_site_fract_z
_atom_site_occupancy
Tm1 Tm 0.000 0.084 0.000 1
Th1 Th 0.000 0.256 0.496 1
Th2 Th 0.500 0.425 0.686 1
Sc1 Sc 0.000 0.412 0.006 1
Sc2 Sc 0.500 0.084 0.657 1
Sc3 Sc 0.500 0.245 0.169 1
```

Results
The polymorph energy (0 for the lowest one) is 0.027 eV/atom. Its uncorrected energy is -6.3269 eV per atom. The calculation puts the formation enthalpy at 0 K at 0.34 eV per formula unit. As for the total magnetization: 0.000 μB per atom.


No. 9
# TmTh6Sc

Crystalline TmTh6Sc at its relaxed geometry (PBE, Alexandria via LeMat-Bulk).

Structure (CIF):
```
data_TmTh6Sc
_chemical_formula_sum 'Tm2 Th12 Sc2'
_cell_length_a 5.892
_cell_length_b 5.892
_cell_length_c 14.370
_cell_angle_alpha 90.00
_cell_angle_beta 90.00
_cell_angle_gamma 90.00
_symmetry_space_group_name_H-M 'I 4/m m m'
_symmetry_Int_Tables_number 139
_symmetry_space_group_name_Hall '-I 4 2'
loop_
_atom_site_label
_atom_site_type_symbol
_atom_site_fract_x
_atom_site_fract_y
_atom_site_fract_z
_atom_site_occupancy
Tm1 Tm 0.000 0.000 0.000 1
Th1 Th 0.000 0.000 0.253 1
Th2 Th 0.000 0.500 0.122 1
Sc1 Sc 0.000 0.000 0.500 1
```

Results
The polymorph energy (0 for the lowest one) is 0.068 eV/atom. Its uncorrected energy is -6.7910 eV per atom. The calculation puts the formation enthalpy at 0 K at 0.99 eV per formula unit. As for the total magnetization: 0.000 μB per atom.


No. 10
# Tm2Th5Sc

Crystalline Tm2Th5Sc at its relaxed geometry (PBE, Alexandria via LeMat-Bulk).

Structure (CIF):
```
data_Tm2Th5Sc
_chemical_formula_sum 'Tm4 Th10 Sc2'
_cell_length_a 7.009
_cell_length_b 7.009
_cell_length_c 10.031
_cell_angle_alpha 90.00
_cell_angle_beta 90.00
_cell_angle_gamma 90.00
_symmetry_space_group_name_H-M 'I 4/m m m'
_symmetry_Int_Tables_number 139
_symmetry_space_group_name_Hall '-I 4 2'
loop_
_atom_site_label
_atom_site_type_symbol
_atom_site_fract_x
_atom_site_fract_y
_atom_site_fract_z
_atom_site_occupancy
Tm1 Tm 0.000 0.500 0.000 1
Th1 Th 0.000 0.000 0.000 1
Th2 Th 0.250 0.250 0.250 1
Sc1 Sc 0.000 0.000 0.500 1
```

Results
Its uncorrected energy is -6.4919 eV per atom. The calculation puts the formation enthalpy at 0 K at 0.44 eV per formula unit. As for the total magnetization: 0.000 μB per atom.


No. 11
# Tm3Th3Sc

Crystalline Tm3Th3Sc at its relaxed geometry (PBE, Alexandria via LeMat-Bulk).

Structure (CIF):
```
data_Tm3Th3Sc
_chemical_formula_sum 'Tm18 Th18 Sc6'
_cell_length_a 8.5812
_cell_length_b 8.5812
_cell_length_c 21.5483
_cell_angle_alpha 90.00
_cell_angle_beta 90.00
_cell_angle_gamma 120.00
_symmetry_space_group_name_H-M 'R -3'
_symmetry_Int_Tables_number 148
_symmetry_space_group_name_Hall '-R 3'
loop_
_atom_site_label
_atom_site_type_symbol
_atom_site_fract_x
_atom_site_fract_y
_atom_site_fract_z
_atom_site_occupancy
Tm1 Tm 0.0481 0.2742 0.2125 1
Th1 Th 0.0139 0.2598 0.0525 1
Sc1 Sc 0.0000 0.0000 0.3454 1
```

Results
The polymorph energy (0 for the lowest one) is 0.300 eV/atom. Its uncorrected energy is -5.6615 eV per atom. The calculation puts the formation enthalpy at 0 K at 2.37 eV per formula unit. As for the total magnetization: 0.000 μB per atom.


No. 12
# Tm2ThSc4

Crystalline Tm2ThSc4 at its relaxed geometry (PBE, Alexandria via LeMat-Bulk).

Structure (CIF):
```
data_Tm2ThSc4
_chemical_formula_sum 'Tm2 Th1 Sc4'
_cell_length_a 5.519
_cell_length_b 6.217
_cell_length_c 6.221
_cell_angle_alpha 94.54
_cell_angle_beta 91.87
_cell_angle_gamma 115.60
_symmetry_space_group_name_H-M 'P 1'
_symmetry_Int_Tables_number 1
loop_
_symmetry_equiv_pos_as_xyz
'x,y,z'
loop_
_atom_site_label
_atom_site_type_symbol
_atom_site_fract_x
_atom_site_fract_y
_atom_site_fract_z
_atom_site_occupancy
Tm1 Tm 0.000 0.000 0.000 1
Tm2 Tm 0.263 0.360 0.611 1
Th1 Th 0.630 0.178 0.306 1
Sc1 Sc 0.371 0.582 0.144 1
Sc2 Sc 0.440 0.907 0.751 1
Sc3 Sc 0.823 0.452 0.863 1
Sc4 Sc 0.893 0.776 0.467 1
```

Results
The polymorph energy (0 for the lowest one) is 0.000 eV/atom. Its uncorrected energy is -5.8558 eV per atom. The calculation puts the formation enthalpy at 0 K at 0.70 eV per formula unit. As for the total magnetization: 0.000 μB per atom.


What is the formation enthalpy at 0 K in the third record?
0.11 eV per formula unit


formation enthalpy at 0 K of number 11 (Tm3Th3Sc)?
2.37 eV per formula unit


Which of these has the lowest formation enthalpy at 0 K?
TmThSc


What is the uncorrected energy in the seventh record?
-5.1187 eV per atom